LiHo2Mn: relaxed, GGA-PBE.

Output
- Formation energy: 0.104 eV per atom
- Crystal system: tetragonal
- Size of the total moment: 2.426 μB/cell
- D(E_F): 3.29 states/eV/cell

Unit cell a=3.433 b=3.433 c=7.989 alpha=90.00 beta=90.00 gamma=90.00
Positions (direct):
Li 0.000 0.000 0.000
Ho 0.500 0.500 0.286
Ho 0.500 0.500 0.714
Mn 0.000 0.000 0.500

=====

In2GaF6: relaxed, GGA-PBE.

Output
- Crystal system: monoclinic
- Size of the total moment: 0.000 μB/cell
- D(E_F): 2.42 states/eV/cell
- Calculated total energy: -4.414 eV per atom

Unit cell a=5.527 b=5.527 c=4.998 alpha=99.54 beta=99.54 gamma=75.71
Positions (direct):
In 0.169 0.169 0.470
In 0.831 0.831 0.530
Ga 0.500 0.500 0.000
F 0.169 0.557 0.782
F 0.365 0.365 0.253
F 0.443 0.831 0.218
F 0.557 0.169 0.782
F 0.635 0.635 0.747
F 0.831 0.443 0.218

=====

TlRe2O7: relaxed, GGA-PBE.

Output
- Crystal system: orthorhombic
- Size of the total moment: 0.000 μB/cell
- D(E_F): 3.87 states/eV/cell
- Calculated total energy: -7.514 eV per atom

Unit cell a=5.994 b=5.994 c=3.827 alpha=90.00 beta=90.00 gamma=117.41
Positions (direct):
Tl 0.000 0.000 0.000
Re 0.309 0.691 0.500
Re 0.691 0.309 0.500
O 0.037 0.334 0.500
O 0.307 0.693 0.000
O 0.334 0.037 0.500
O 0.500 0.500 0.500
O 0.666 0.963 0.500
O 0.693 0.307 0.000
O 0.963 0.666 0.500